# GGA-PBE NaTi3Ga, optimized geometry
data_NaTi3Ga
_chemical_formula_sum 'Na1 Ti3 Ga1'
_cell_length_a 4.657
_cell_length_b 4.657
_cell_length_c 4.657
_cell_angle_alpha 90.00
_cell_angle_beta 90.00
_cell_angle_gamma 90.00
_symmetry_space_group_name_H-M 'P 1'
_symmetry_Int_Tables_number 1
_symmetry_space_group_name_Hall 'P 1'
loop_
_atom_site_label
_atom_site_type_symbol
_atom_site_fract_x
_atom_site_fract_y
_atom_site_fract_z
_atom_site_occupancy
Na1 Na 0.000 0.000 0.000 1
Ga1 Ga 0.500 0.500 0.500 1
Ti1 Ti 0.000 0.500 0.000 1
Ti2 Ti 0.000 0.000 0.500 1
Ti3 Ti 0.500 0.000 0.000 1
# Density of states at the Fermi level in states/eV/f.u.: 6.39
# Space-group type: No. 221
# Energy relative to the lowest polymorph listed for this composition in kJ/mol of atoms: 66.3
# Volume in Å³/f.u.: 101.0

# GGA-PBE NaTiGa, optimized geometry
data_NaTiGa
_chemical_formula_sum 'Na4 Ti4 Ga4'
_cell_length_a 7.899
_cell_length_b 4.001
_cell_length_c 8.152
_cell_angle_alpha 90.00
_cell_angle_beta 90.00
_cell_angle_gamma 90.00
_symmetry_space_group_name_H-M 'P 1'
_symmetry_Int_Tables_number 1
_symmetry_space_group_name_Hall 'P 1'
loop_
_atom_site_label
_atom_site_type_symbol
_atom_site_fract_x
_atom_site_fract_y
_atom_site_fract_z
_atom_site_occupancy
Na1 Na 0.024 0.250 0.852 1
Na2 Na 0.476 0.750 0.352 1
Na3 Na 0.976 0.750 0.148 1
Na4 Na 0.524 0.250 0.648 1
Ga1 Ga 0.784 0.250 0.353 1
Ga2 Ga 0.716 0.750 0.853 1
Ga3 Ga 0.216 0.750 0.647 1
Ga4 Ga 0.284 0.250 0.147 1
Ti1 Ti 0.106 0.250 0.442 1
Ti2 Ti 0.394 0.750 0.942 1
Ti3 Ti 0.894 0.750 0.558 1
Ti4 Ti 0.606 0.250 0.058 1
# Density of states at the Fermi level in states/eV/f.u.: 2.18
# Space-group type: No. 62
# Energy relative to the lowest polymorph listed for this composition in kJ/mol of atoms: 28.1
# Volume in Å³/f.u.: 64.4

# GGA-PBE NaTiGa3, optimized geometry
data_NaTiGa3
_chemical_formula_sum 'Na1 Ti1 Ga3'
_cell_length_a 5.049
_cell_length_b 5.049
_cell_length_c 5.049
_cell_angle_alpha 90.00
_cell_angle_beta 90.00
_cell_angle_gamma 90.00
_symmetry_space_group_name_H-M 'P 1'
_symmetry_Int_Tables_number 1
_symmetry_space_group_name_Hall 'P 1'
loop_
_atom_site_label
_atom_site_type_symbol
_atom_site_fract_x
_atom_site_fract_y
_atom_site_fract_z
_atom_site_occupancy
Na1 Na 0.500 0.500 0.500 1
Ga1 Ga 0.000 0.500 0.000 1
Ga2 Ga 0.000 0.000 0.500 1
Ga3 Ga 0.500 0.000 0.000 1
Ti1 Ti 0.000 0.000 0.000 1
# Density of states at the Fermi level in states/eV/f.u.: 4.44
# Space-group type: No. 221
# Energy relative to the lowest polymorph listed for this composition in kJ/mol of atoms: 0.0
# Volume in Å³/f.u.: 128.7

# GGA-PBE NaTi3Ga, optimized geometry
data_NaTi3Ga
_chemical_formula_sum 'Na1 Ti3 Ga1'
_cell_length_a 4.906
_cell_length_b 4.906
_cell_length_c 4.906
_cell_angle_alpha 90.00
_cell_angle_beta 90.00
_cell_angle_gamma 90.00
_symmetry_space_group_name_H-M 'P 1'
_symmetry_Int_Tables_number 1
_symmetry_space_group_name_Hall 'P 1'
loop_
_atom_site_label
_atom_site_type_symbol
_atom_site_fract_x
_atom_site_fract_y
_atom_site_fract_z
_atom_site_occupancy
Na1 Na 0.500 0.500 0.500 1
Ga1 Ga 0.000 0.000 0.000 1
Ti1 Ti 0.000 0.500 0.000 1
Ti2 Ti 0.000 0.000 0.500 1
Ti3 Ti 0.500 0.000 0.000 1
# Density of states at the Fermi level in states/eV/f.u.: 3.44
# Space-group type: No. 221
# Energy relative to the lowest polymorph listed for this composition in kJ/mol of atoms: 0.0
# Volume in Å³/f.u.: 118.1

# GGA-PBE NaTiGa, optimized geometry
data_NaTiGa
_chemical_formula_sum 'Na2 Ti2 Ga2'
_cell_length_a 8.507
_cell_length_b 2.965
_cell_length_c 5.361
_cell_angle_alpha 73.94
_cell_angle_beta 73.50
_cell_angle_gamma 79.92
_symmetry_space_group_name_H-M 'P 1'
_symmetry_Int_Tables_number 1
_symmetry_space_group_name_Hall 'P 1'
loop_
_atom_site_label
_atom_site_type_symbol
_atom_site_fract_x
_atom_site_fract_y
_atom_site_fract_z
_atom_site_occupancy
Na1 Na 0.090 0.358 0.961 1
Na2 Na 0.893 0.677 0.523 1
Ga1 Ga 0.563 0.365 0.473 1
Ga2 Ga 0.721 0.000 0.045 1
Ti1 Ti 0.317 0.035 0.382 1
Ti2 Ti 0.460 0.684 0.939 1
# Density of states at the Fermi level in states/eV/f.u.: 0.33
# Space-group type: No. 8
# Energy relative to the lowest polymorph listed for this composition in kJ/mol of atoms: 22.7
# Volume in Å³/f.u.: 62.0

# GGA-PBE NaTiGa, optimized geometry
data_NaTiGa
_chemical_formula_sum 'Na2 Ti2 Ga2'
_cell_length_a 4.813
_cell_length_b 4.813
_cell_length_c 5.498
_cell_angle_alpha 90.00
_cell_angle_beta 90.00
_cell_angle_gamma 120.00
_symmetry_space_group_name_H-M 'P 1'
_symmetry_Int_Tables_number 1
_symmetry_space_group_name_Hall 'P 1'
loop_
_atom_site_label
_atom_site_type_symbol
_atom_site_fract_x
_atom_site_fract_y
_atom_site_fract_z
_atom_site_occupancy
Na1 Na 0.000 0.000 0.000 1
Na2 Na 0.000 0.000 0.500 1
Ga1 Ga 0.333 0.667 0.750 1
Ga2 Ga 0.667 0.333 0.250 1
Ti1 Ti 0.333 0.667 0.250 1
Ti2 Ti 0.667 0.333 0.750 1
# Density of states at the Fermi level in states/eV/f.u.: 0.80
# Space-group type: No. 194
# Energy relative to the lowest polymorph listed for this composition in kJ/mol of atoms: 23.6
# Volume in Å³/f.u.: 55.1

# GGA-PBE NaTiGa, optimized geometry
data_NaTiGa
_chemical_formula_sum 'Na2 Ti2 Ga2'
_cell_length_a 3.021
_cell_length_b 3.798
_cell_length_c 11.334
_cell_angle_alpha 90.00
_cell_angle_beta 89.74
_cell_angle_gamma 90.00
_symmetry_space_group_name_H-M 'P 1'
_symmetry_Int_Tables_number 1
_symmetry_space_group_name_Hall 'P 1'
loop_
_atom_site_label
_atom_site_type_symbol
_atom_site_fract_x
_atom_site_fract_y
_atom_site_fract_z
_atom_site_occupancy
Na1 Na 0.244 0.250 0.365 1
Na2 Na 0.756 0.750 0.635 1
Ga1 Ga 0.254 0.250 0.822 1
Ga2 Ga 0.746 0.750 0.178 1
Ti1 Ti 0.248 0.250 0.070 1
Ti2 Ti 0.752 0.750 0.930 1
# Density of states at the Fermi level in states/eV/f.u.: 1.51
# Space-group type: No. 11
# Energy relative to the lowest polymorph listed for this composition in kJ/mol of atoms: 0.0
# Volume in Å³/f.u.: 65.0

# GGA-PBE NaTiGa, optimized geometry
data_NaTiGa
_chemical_formula_sum 'Na2 Ti2 Ga2'
_cell_length_a 22.026
_cell_length_b 10.763
_cell_length_c 10.763
_cell_angle_alpha 158.12
_cell_angle_beta 166.02
_cell_angle_gamma 13.98
_symmetry_space_group_name_H-M 'P 1'
_symmetry_Int_Tables_number 1
_symmetry_space_group_name_Hall 'P 1'
loop_
_atom_site_label
_atom_site_type_symbol
_atom_site_fract_x
_atom_site_fract_y
_atom_site_fract_z
_atom_site_occupancy
Na1 Na 0.664 0.680 0.320 1
Na2 Na 0.305 0.408 0.592 1
Ga1 Ga 0.027 0.447 0.553 1
Ga2 Ga 0.411 0.164 0.836 1
Ti1 Ti 0.906 0.174 0.826 1
Ti2 Ti 0.525 0.451 0.549 1
# Density of states at the Fermi level in states/eV/f.u.: 2.45
# Space-group type: No. 8
# Energy relative to the lowest polymorph listed for this composition in kJ/mol of atoms: 7.9
# Volume in Å³/f.u.: 72.4